[1]
This record from Alexandria via LeMat-Bulk describes an optimized crystal structure of KSrB6C6. The functional is PBE.

**Space group**: Pm-3

a b c (Å): 4.873 4.873 4.873
angles (deg): 90.00 90.00 90.00
Positions (direct):
K 0.000 0.000 0.000
Sr 0.500 0.500 0.500
B 0.247 0.500 0.000
B 0.753 0.500 0.000
B 0.500 0.000 0.247
B 0.500 0.000 0.753
B 0.000 0.247 0.500
B 0.000 0.753 0.500
C 0.253 0.000 0.500
C 0.747 0.000 0.500
C 0.000 0.500 0.253
C 0.000 0.500 0.747
C 0.500 0.253 0.000
C 0.500 0.747 0.000

***

[2]
This record from Alexandria via LeMat-Bulk describes an optimized crystal structure of KTiB2C. The functional is PBE.

**Space group**: P4/mmm

a b c (Å): 4.235 4.184 4.235
angles (deg): 90.00 90.00 90.00
Positions (direct):
K 0.000 0.000 0.000
B 0.000 0.000 0.500
B 0.500 0.000 0.000
C 0.000 0.500 0.000
Ti 0.500 0.500 0.500

***

[3]
This record from Alexandria via LeMat-Bulk describes an optimized crystal structure of LaB3C. The functional is PBE.

**Space group**: Pm-3m
**Distance to the lowest polymorph of the same formula**: 3511 meV/atom

a b c (Å): 4.857 4.857 4.857
angles (deg): 90.00 90.00 90.00
Positions (direct):
C 0.500 0.500 0.500
B 0.000 0.500 0.000
B 0.000 0.000 0.500
B 0.500 0.000 0.000
La 0.000 0.000 0.000

***

[4]
This record from Alexandria via LeMat-Bulk describes an optimized crystal structure of LaB4C4. The functional is PBE.

**Space group**: I4/m

a b c (Å): 2.862 7.255 7.255
angles (deg): 90.00 90.00 90.00
Positions (direct):
La 0.000 0.000 0.000
La 0.500 0.500 0.500
B 0.500 0.316 0.868
B 0.000 0.632 0.816
B 0.500 0.684 0.132
B 0.000 0.184 0.632
B 0.500 0.868 0.684
B 0.000 0.816 0.368
B 0.000 0.368 0.184
B 0.500 0.132 0.316
C 0.500 0.897 0.292
C 0.500 0.103 0.708
C 0.000 0.792 0.603
C 0.000 0.397 0.792
C 0.000 0.603 0.208
C 0.500 0.292 0.103
C 0.500 0.708 0.897
C 0.000 0.208 0.397

***

[5]
This record from Alexandria via LeMat-Bulk describes an optimized crystal structure of LaB3C3. The functional is PBE.

**Space group**: Pm-3n
**Distance to the lowest polymorph of the same formula**: 0 meV/atom

a b c (Å): 4.908 4.908 4.908
angles (deg): 90.00 90.00 90.00
Positions (direct):
La 0.000 0.000 0.000
La 0.500 0.500 0.500
B 0.250 0.000 0.500
B 0.750 0.000 0.500
B 0.000 0.500 0.250
B 0.000 0.500 0.750
B 0.500 0.250 0.000
B 0.500 0.750 0.000
C 0.250 0.500 0.000
C 0.750 0.500 0.000
C 0.500 0.000 0.250
C 0.500 0.000 0.750
C 0.000 0.250 0.500
C 0.000 0.750 0.500

***

[6]
This record from Alexandria via LeMat-Bulk describes an optimized crystal structure of LaBC3. The functional is PBE.

**Space group**: Pm-3m
**Distance to the lowest polymorph of the same formula**: 2293 meV/atom

a b c (Å): 4.592 4.592 4.592
angles (deg): 90.00 90.00 90.00
Positions (direct):
C 0.000 0.500 0.000
C 0.000 0.000 0.500
C 0.500 0.000 0.000
B 0.500 0.500 0.500
La 0.000 0.000 0.000

***

For the records above, the corresponding ΔH_f (0 K) values read 4.23; 16.69; 18.42; 1.49; -0.66; 18.81 eV/f.u..